1.
First-principles (PBE) data for a geometry-optimized Cd2Pd12Pt5 structure, as listed in the Alexandria database. Values from VASP.

The calculation puts the theoretical density at 13.16 g/cm³. The formation energy is -0.19 eV/f.u. The calculation puts the total energy at -4.9755 eV per atom. For the polymorph energy (0 for the lowest one), the calculation gives 0.000 eV per atom.

```
&SYSTEM
  ibrav = 0, nat = 19, ntyp = 3
/
ATOMIC_SPECIES
Pd 106.42 Pd.upf
Pt 195.08 Pt.upf
Cd 112.41 Cd.upf
ATOMIC_POSITIONS angstrom
Pd 3.608 -12.548 -2.544
Pd -2.984 -3.292 -2.535
Pd 0.437 -6.088 -4.454
Pd -0.204 -9.832 -3.434
Pd 0.187 -9.752 -0.625
Pd 2.027 -8.438 -4.497
Pd -1.402 -7.402 -0.583
Pd 1.038 -10.639 -5.769
Pd -0.841 -11.981 -1.815
Pd 0.829 -6.008 -1.645
Pd -0.413 -5.200 0.689
Pd 1.465 -3.858 -3.264
Pt -1.661 -5.786 -2.753
Pt -1.807 -0.989 -1.194
Pt 1.174 -12.340 -3.631
Pt 2.286 -10.054 -2.326
Pt -0.550 -3.499 -1.449
Cd 3.036 -6.276 -3.275
Cd 1.202 -7.586 0.584
CELL_PARAMETERS angstrom
-3.613 -1.977 -2.388
4.013 -5.578 -5.331
0.225 -8.284 2.640
```

2.
First-principles (PBE) data for a geometry-optimized GaCoTc2 structure, as listed in the Alexandria database. Values from VASP.

The calculation puts the theoretical density at 9.81 g/cm³. The formation energy is 0.42 eV/f.u. The calculation puts the total energy at -7.6107 eV per atom.

```
&SYSTEM
  ibrav = 0, nat = 4, ntyp = 3
/
ATOMIC_SPECIES
Tc 98.00 Tc.upf
Ga 69.72 Ga.upf
Co 58.93 Co.upf
ATOMIC_POSITIONS angstrom
Tc 2.853 7.172 2.233
Tc 0.844 2.324 0.723
Ga 1.849 4.748 1.478
Co 0.000 0.000 0.000
CELL_PARAMETERS angstrom
-1.287 2.292 -0.724
-1.300 1.486 1.880
6.283 5.718 1.800
```

3.
First-principles (PBE) data for a geometry-optimized Tb2DyPuSb4 structure, as listed in the Alexandria database. Values from VASP.

The calculation puts the theoretical density at 8.32 g/cm³. The calculation puts the uncorrected formation energy at -999 meV per atom. The calculation puts the total energy at -6.5846 eV per atom.

```
&SYSTEM
  ibrav = 0, nat = 8, ntyp = 4
/
ATOMIC_SPECIES
Tb 158.93 Tb.upf
Sb 121.76 Sb.upf
Dy 162.50 Dy.upf
Pu 244.00 Pu.upf
ATOMIC_POSITIONS angstrom
Tb 0.200 -5.405 5.370
Tb -1.692 -1.830 3.629
Sb -2.675 -4.681 4.396
Sb -4.827 -4.977 0.584
Sb -2.937 -8.547 2.317
Sb -4.565 -1.111 2.663
Dy -1.959 -5.701 1.546
Pu -3.851 -2.127 -0.195
CELL_PARAMETERS angstrom
-3.584 1.744 1.888
-4.118 -5.997 -2.278
0.200 -5.405 5.370
```

4.
First-principles (PBE) data for a geometry-optimized CsHgB2Cl8 structure, as listed in the Alexandria database. Values from VASP.

The calculation puts the theoretical density at 2.98 g/cm³. The calculation puts the uncorrected formation energy at -1010 meV per atom. The calculation puts the total energy at -3.4500 eV per atom.

```
&SYSTEM
  ibrav = 0, nat = 12, ntyp = 4
/
ATOMIC_SPECIES
Cl 35.45 Cl.upf
B 10.81 B.upf
Cs 132.91 Cs.upf
Hg 200.59 Hg.upf
ATOMIC_POSITIONS angstrom
Cl -7.495 -5.431 1.620
Cl -4.383 -0.582 3.609
Cl -9.535 -0.328 5.223
Cl -4.489 -5.876 3.954
Cl -9.362 -3.353 7.568
Cl -4.662 -2.851 1.609
Cl -6.529 -0.773 7.557
Cl -9.641 -5.622 5.568
B -10.524 -4.646 6.891
B -3.500 -1.557 2.286
Cs -7.012 -3.102 4.589
Hg 0.000 0.000 0.000
CELL_PARAMETERS angstrom
-5.494 -3.053 -1.414
-1.512 -5.480 3.031
-7.018 2.330 7.560
```

5.
First-principles (PBE) data for a geometry-optimized HoMg11Cu structure, as listed in the Alexandria database. Values from VASP.

The calculation puts the theoretical density at 2.84 g/cm³. The formation energy is -0.27 eV/f.u. The calculation puts the total energy at -2.0371 eV per atom.

```
&SYSTEM
  ibrav = 0, nat = 13, ntyp = 3
/
ATOMIC_SPECIES
Mg 24.30 Mg.upf
Cu 63.55 Cu.upf
Ho 164.93 Ho.upf
ATOMIC_POSITIONS angstrom
Mg 1.655 4.553 3.326
Mg 4.554 5.521 3.482
Mg 4.270 2.490 4.415
Mg 3.417 4.528 6.521
Mg 5.569 5.495 8.470
Mg 2.118 1.523 2.467
Mg 1.263 3.547 0.526
Mg 3.133 1.497 7.455
Mg 2.581 -0.038 4.942
Mg 6.032 2.465 7.611
Mg -0.055 -0.013 3.844
Cu 3.899 3.522 1.624
Ho 0.000 0.000 0.000
CELL_PARAMETERS angstrom
5.271 -0.050 2.196
2.526 7.094 1.052
-0.110 -0.025 7.688
```

6.
First-principles (PBE) data for a geometry-optimized Ce12TcRu6 structure, as listed in the Alexandria database. Values from VASP.

The calculation puts the theoretical density at 7.87 g/cm³. The formation energy is -2.84 eV/f.u. The calculation puts the total energy at -7.3721 eV per atom.

```
&SYSTEM
  ibrav = 0, nat = 19, ntyp = 3
/
ATOMIC_SPECIES
Ce 140.12 Ce.upf
Ru 101.07 Ru.upf
Tc 98.00 Tc.upf
ATOMIC_POSITIONS angstrom
Ce -3.099 6.188 3.266
Ce 5.162 -0.106 6.554
Ce 2.830 1.206 4.124
Ce 0.768 4.377 2.594
Ce -1.186 1.530 4.767
Ce -0.047 -1.643 7.474
Ce -3.929 2.237 7.013
Ce 1.294 1.705 7.227
Ce -0.767 4.875 5.696
Ce 2.109 7.724 2.347
Ce 5.992 3.845 2.808
Ce 3.249 4.551 5.053
Ru 1.601 6.502 4.823
Ru -1.712 3.782 2.852
Ru -1.321 3.151 7.511
Ru 3.384 2.930 2.309
Ru 0.462 -0.421 4.998
Ru 3.775 2.299 6.968
Tc 0.000 0.000 0.000
CELL_PARAMETERS angstrom
-2.276 -3.104 7.073
7.594 1.866 1.923
-3.255 7.319 0.825
```

What is the theoretical density in the second record?
9.81 g/cm³